# LiAg2Sn

A relaxed LiAg2Sn crystal (GGA-PBE, Alexandria).

a = 6.676 Å, b = 6.676 Å, c = 6.676 Å
α = 90.00°, β = 90.00°, γ = 90.00°
Space group F-43m (No. 216)
Unique sites:
1 Li 0.000 0.000 0.000 (multiplicity 4)
2 Ag 0.000 0.000 0.500 (multiplicity 4)
3 Ag 0.250 0.250 0.250 (multiplicity 4)
4 Sn 0.250 0.250 0.750 (multiplicity 4)

Calculated volume, Å³/atom: 18.60
ΔH_f (0 K), eV per atom: -0.18